1.
{"formula": "Pa4Bi5Sb", "functional": "PBE", "state": "optimized geometry", "total_energy_ev_per_cell": -62.3, "density_kg_m3": 10905, "n_ef_per_ev_fu": 12.82, "e_form_raw_kj_per_mol_fu": -77, "spacegroup": "No. 12", "lattice": [[8.392, -2.839, 0.000], [8.392, 2.839, 0.000], [-0.150, 0.000, 6.682]], "species": ["Pa", "Pa", "Pa", "Pa", "Bi", "Bi", "Bi", "Bi", "Bi", "Sb"], "frac_coords": [[0.005, 0.005, 0.246], [0.336, 0.336, 0.756], [0.664, 0.664, 0.244], [0.995, 0.995, 0.754], [0.169, 0.169, 0.500], [0.170, 0.170, 0.999], [0.500, 0.500, 0.500], [0.830, 0.830, 0.001], [0.831, 0.831, 0.500], [0.500, 0.500, 0.000]]}

***

2.
{"formula": "PaBiSb", "functional": "PBE", "state": "optimized geometry", "total_energy_ev_per_cell": -73.6, "polymorph_energy_mev_per_atom": 34, "density_kg_m3": 10628, "n_ef_per_ev_fu": 4.04, "e_form_raw_kj_per_mol_fu": -88, "spacegroup": "No. 62", "lattice": [[7.640, 0.000, 0.000], [0.000, 4.351, 0.000], [0.000, 0.000, 10.561]], "species": ["Pa", "Pa", "Pa", "Pa", "Bi", "Bi", "Bi", "Bi", "Sb", "Sb", "Sb", "Sb"], "frac_coords": [[0.207, 0.250, 0.150], [0.293, 0.750, 0.650], [0.707, 0.250, 0.350], [0.793, 0.750, 0.850], [0.132, 0.250, 0.449], [0.368, 0.750, 0.949], [0.632, 0.250, 0.051], [0.868, 0.750, 0.551], [0.087, 0.250, 0.820], [0.413, 0.750, 0.320], [0.587, 0.250, 0.680], [0.913, 0.750, 0.180]]}

***

3.
{"formula": "PaBiSb", "functional": "PBE", "state": "optimized geometry", "total_energy_ev_per_cell": -18.3, "polymorph_energy_mev_per_atom": 77, "density_kg_m3": 11250, "n_ef_per_ev_fu": 4.44, "e_form_raw_kj_per_mol_fu": -75, "spacegroup": "No. 107", "lattice": [[-2.014, 2.014, 5.110], [2.014, -2.014, 5.110], [2.014, 2.014, -5.110]], "species": ["Pa", "Bi", "Sb"], "frac_coords": [[0.000, 0.000, 0.000], [0.334, 0.334, 0.000], [0.649, 0.649, 0.000]]}

***

4.
{"formula": "Pa2BiSb", "functional": "PBE", "state": "optimized geometry", "total_energy_ev_per_cell": -55.3, "polymorph_energy_mev_per_atom": 106, "density_kg_m3": 10902, "n_ef_per_ev_fu": 8.39, "e_form_raw_kj_per_mol_fu": -63, "spacegroup": "No. 194", "lattice": [[4.095, 0.000, 0.000], [-2.047, 3.546, 0.000], [0.000, 0.000, 16.632]], "species": ["Pa", "Pa", "Pa", "Pa", "Bi", "Bi", "Sb", "Sb"], "frac_coords": [[0.333, 0.667, 0.119], [0.333, 0.667, 0.381], [0.667, 0.333, 0.619], [0.667, 0.333, 0.881], [0.000, 0.000, 0.250], [0.000, 0.000, 0.750], [0.000, 0.000, 0.000], [0.000, 0.000, 0.500]]}

***

5.
{"formula": "Pa2BiSb", "functional": "PBE", "state": "optimized geometry", "total_energy_ev_per_cell": -27.7, "polymorph_energy_mev_per_atom": 88, "density_kg_m3": 10794, "n_ef_per_ev_fu": 8.29, "e_form_raw_kj_per_mol_fu": -70, "spacegroup": "No. 160", "lattice": [[2.086, 1.204, 8.092], [-2.086, 1.204, 8.092], [0.000, -2.409, 8.092]], "species": ["Pa", "Pa", "Bi", "Sb"], "frac_coords": [[0.000, 0.000, 0.000], [0.176, 0.176, 0.176], [0.421, 0.421, 0.421], [0.588, 0.588, 0.588]]}

***

6.
{"formula": "Pa6BiSb5", "functional": "PBE", "state": "optimized geometry", "total_energy_ev_per_cell": -85.9, "density_kg_m3": 10283, "n_ef_per_ev_fu": 22.12, "e_form_raw_kj_per_mol_fu": -426, "spacegroup": "No. 12", "lattice": [[3.792, -6.569, 0.000], [3.792, 6.569, 0.000], [-2.527, 0.000, 7.144]], "species": ["Pa", "Pa", "Pa", "Pa", "Pa", "Pa", "Bi", "Sb", "Sb", "Sb", "Sb", "Sb"], "frac_coords": [[0.074, 0.414, 0.744], [0.242, 0.242, 0.249], [0.414, 0.074, 0.744], [0.586, 0.926, 0.256], [0.758, 0.758, 0.751], [0.926, 0.586, 0.256], [0.500, 0.500, 0.000], [0.000, 0.000, 0.500], [0.168, 0.832, 0.000], [0.338, 0.662, 0.500], [0.662, 0.338, 0.500], [0.832, 0.168, 0.000]]}

***

7.
{"formula": "Pa3Bi3Sb2", "functional": "PBE", "state": "optimized geometry", "total_energy_ev_per_cell": -102.2, "polymorph_energy_mev_per_atom": 0, "density_kg_m3": 11387, "n_ef_per_ev_fu": 11.73, "e_form_raw_kj_per_mol_fu": -261, "spacegroup": "No. 193", "lattice": [[9.234, 0.000, 0.000], [-4.617, 7.996, 0.000], [0.000, 0.000, 6.176]], "species": ["Pa", "Pa", "Pa", "Pa", "Pa", "Pa", "Bi", "Bi", "Bi", "Bi", "Bi", "Bi", "Sb", "Sb", "Sb", "Sb"], "frac_coords": [[0.000, 0.396, 0.250], [0.000, 0.604, 0.750], [0.396, 0.000, 0.250], [0.396, 0.396, 0.750], [0.604, 0.000, 0.750], [0.604, 0.604, 0.250], [0.000, 0.242, 0.750], [0.000, 0.758, 0.250], [0.242, 0.000, 0.750], [0.242, 0.242, 0.250], [0.758, 0.000, 0.250], [0.758, 0.758, 0.750], [0.333, 0.667, 0.000], [0.333, 0.667, 0.500], [0.667, 0.333, 0.000], [0.667, 0.333, 0.500]]}

***

8.
{"formula": "Pa4BiSb5", "functional": "PBE", "state": "optimized geometry", "total_energy_ev_per_cell": -65.2, "density_kg_m3": 9627, "n_ef_per_ev_fu": 13.63, "e_form_raw_kj_per_mol_fu": -267, "spacegroup": "No. 12", "lattice": [[8.143, -2.798, 0.000], [8.143, 2.798, 0.000], [-0.136, 0.000, 6.594]], "species": ["Pa", "Pa", "Pa", "Pa", "Bi", "Sb", "Sb", "Sb", "Sb", "Sb"], "frac_coords": [[0.002, 0.002, 0.246], [0.326, 0.326, 0.756], [0.674, 0.674, 0.244], [0.998, 0.998, 0.754], [0.500, 0.500, 0.500], [0.167, 0.167, 0.492], [0.168, 0.168, 0.008], [0.500, 0.500, 0.000], [0.832, 0.832, 0.992], [0.833, 0.833, 0.508]]}

***

9.
{"formula": "PaBi2Sb", "functional": "PBE", "state": "optimized geometry", "total_energy_ev_per_cell": -22.3, "polymorph_energy_mev_per_atom": 0, "density_kg_m3": 11281, "n_ef_per_ev_fu": 3.63, "e_form_raw_kj_per_mol_fu": -85, "spacegroup": "No. 139", "lattice": [[-2.268, 2.268, 5.516], [2.268, -2.268, 5.516], [2.268, 2.268, -5.516]], "species": ["Pa", "Bi", "Bi", "Sb"], "frac_coords": [[0.000, 0.000, 0.000], [0.250, 0.750, 0.500], [0.750, 0.250, 0.500], [0.500, 0.500, 0.000]]}

***

10.
{"formula": "SmPaBiSb", "functional": "PBE", "state": "optimized geometry", "total_energy_ev_per_cell": -24.2, "density_kg_m3": 10488, "n_ef_per_ev_fu": 4.13, "e_form_raw_kj_per_mol_fu": -189, "spacegroup": "No. 216", "lattice": [[0.000, 3.834, 3.834], [3.834, 0.000, 3.834], [3.834, 3.834, 0.000]], "species": ["Sm", "Pa", "Bi", "Sb"], "frac_coords": [[0.000, 0.000, 0.000], [0.500, 0.500, 0.500], [0.250, 0.250, 0.250], [0.750, 0.750, 0.750]]}

***

11.
{"formula": "ThPaBiSb", "functional": "PBE", "state": "optimized geometry", "total_energy_ev_per_cell": -26.8, "density_kg_m3": 11683, "n_ef_per_ev_fu": 5.20, "e_form_raw_kj_per_mol_fu": -177, "spacegroup": "No. 216", "lattice": [[0.000, 3.835, 3.835], [3.835, 0.000, 3.835], [3.835, 3.835, 0.000]], "species": ["Th", "Pa", "Bi", "Sb"], "frac_coords": [[0.000, 0.000, 0.000], [0.500, 0.500, 0.500], [0.250, 0.250, 0.250], [0.750, 0.750, 0.750]]}

***

12.
{"formula": "Sc5PaBi6", "functional": "PBE", "state": "optimized geometry", "total_energy_ev_per_cell": -71.1, "density_kg_m3": 8395, "n_ef_per_ev_fu": 7.67, "spacegroup": "No. 12", "lattice": [[3.728, -6.455, 0.000], [3.728, 6.455, 0.000], [-2.495, 0.000, 7.027]], "species": ["Sc", "Sc", "Sc", "Sc", "Sc", "Pa", "Bi", "Bi", "Bi", "Bi", "Bi", "Bi"], "frac_coords": [[0.000, 0.000, 0.000], [0.168, 0.832, 0.500], [0.338, 0.662, 0.000], [0.662, 0.338, 0.000], [0.832, 0.168, 0.500], [0.500, 0.500, 0.500], [0.073, 0.414, 0.243], [0.241, 0.241, 0.751], [0.414, 0.073, 0.243], [0.586, 0.927, 0.757], [0.759, 0.759, 0.249], [0.927, 0.586, 0.757]]}